Record 1
The following is a DFT calculation (PBE) of crystalline Nd8HgPd2 at its relaxed geometry.

Unit cell a=18.8068 b=5.3170 c=7.0334 alpha=90.00 beta=109.10 gamma=90.00
With the nearest neighbours (Å) after each atom.
Space group C2/m (No. 12)
Symmetry-distinct sites (fractional):
Nd  0.0289  0.0000  0.2768 (multiplicity 4)  1 Pd 2.80
Nd  0.0945  0.5000  0.9790 (multiplicity 4)  1 Hg 3.25, 2 Pd 3.26, 5 Nd 3.52-3.63
Nd  0.1769  0.5000  0.5058 (multiplicity 4)  1 Pd 2.84
Nd  0.1996  0.0000  0.8427 (multiplicity 4)  1 Pd 2.95
Hg  0.0000  0.5000  0.5000 (multiplicity 2)  8 Nd 3.22-3.31
Pd  0.1715  0.0000  0.2320 (multiplicity 4)  3 Nd 2.80-2.95

Computed properties:
- Calculated formation energy: -370 kJ/mol of formula units
- ΔE to the lowest computed polymorph: 0 meV/atom


Record 2
The following is a DFT calculation (PBE) of crystalline NdHgPd6 at its relaxed geometry.

Unit cell a=5.7999 b=5.7999 c=4.1903 alpha=90.00 beta=90.00 gamma=90.00
With the nearest neighbours (Å) after each atom.
Space group P4/mmm (No. 123)
Symmetry-distinct sites (fractional):
Nd  0.0000  0.0000  0.0000 (multiplicity 1)  12 Pd 2.90-2.97
Hg  0.5000  0.5000  0.0000 (multiplicity 1)  12 Pd 2.90
Pd  0.0000  0.5000  0.0000 (multiplicity 2)  2 Hg 2.90, 2 Nd 2.90, 8 Pd 2.93
Pd  0.2560  0.2560  0.5000 (multiplicity 4)  8 Pd 2.83-2.97, 2 Hg 2.90, 2 Nd 2.97

Computed properties:
- Calculated formation energy: -341 kJ/mol of formula units
- ΔE to the lowest computed polymorph: 0 meV/atom


Record 3
The following is a DFT calculation (PBE) of crystalline Nd4HgPd3 at its relaxed geometry.

Unit cell a=3.8914 b=4.7390 c=11.1679 alpha=90.00 beta=90.00 gamma=90.00
With the nearest neighbours (Å) after each atom.
Space group Pmm2 (No. 25)
Symmetry-distinct sites (fractional):
Nd  0.0000  0.0000  0.0000 (multiplicity 1)  6 Pd 3.05-3.11, 1 Hg 3.27
Nd  0.0000  0.5000  0.2616 (multiplicity 1)  7 Pd 3.10-3.12
Nd  0.5000  0.0000  0.4765 (multiplicity 1)  5 Pd 2.97-3.14, 2 Hg 3.23
Nd  0.5000  0.5000  0.7712 (multiplicity 1)  3 Pd 3.05-3.24, 4 Hg 3.15
Hg  0.0000  0.0000  0.7071 (multiplicity 1)  2 Pd 3.02, 7 Nd 3.15-3.27
Pd  0.0000  0.5000  0.5390 (multiplicity 1)  2 Hg 3.02, 7 Nd 3.10-3.24
Pd  0.5000  0.0000  0.2107 (multiplicity 1)  7 Nd 2.97-3.12, 2 Pd 3.01
Pd  0.5000  0.5000  0.0440 (multiplicity 1)  2 Pd 3.01, 7 Nd 3.05-3.11

Computed properties:
- Calculated formation energy: -544 kJ/mol of formula units


> The lowest calculated formation energy belongs to which entry?

Nd4HgPd3


> What is the calculated formation energy in the first record?

-370 kJ/mol of formula units